# 1
Na5Pb4: optimized geometry, PBE.

Values from the calculation:
electronic total energy	-2.52	eV/atom
spin magnetization	0.000	μB per atom
formation energy	-125	kJ/mol of formula units

extended XYZ file:
```
9
Lattice="5.435 -2.476 0.000 5.435 2.476 0.000 -3.448 0.000 9.775" Properties=species:S:1:pos:R:3 pbc="T T T"
Na 0.000 0.000 0.000
Na -2.193 0.000 6.490
Na 0.973 0.000 7.629
Na 6.448 0.000 2.147
Na 9.614 0.000 3.285
Pb 1.990 0.000 4.385
Pb 3.186 0.000 1.022
Pb 4.236 0.000 8.753
Pb 5.431 0.000 5.390
```

# 2
NaPb: optimized geometry, PBE.

Values from the calculation:
electronic total energy	-2.69	eV/atom
spin magnetization	0.000	μB per atom
formation energy	-34	kJ/mol of formula units

extended XYZ file:
```
32
Lattice="-5.297 5.297 8.996 5.297 -5.297 8.996 5.297 5.297 -8.996" Properties=species:S:1:pos:R:3 pbc="T T T"
Na -1.324 3.972 11.245
Na 6.620 1.324 -2.249
Na 2.648 1.413 0.000
Na -1.324 1.324 2.249
Na 3.973 3.972 -2.249
Na 1.235 0.000 4.498
Na 6.531 0.000 4.498
Na 2.648 -1.413 8.996
Na 1.324 3.972 2.249
Na 3.973 1.324 6.747
Na 2.648 6.710 0.000
Na 6.620 3.972 6.747
Na -1.235 5.297 4.498
Na 4.062 5.297 4.498
Na 1.324 1.324 11.245
Na 2.648 3.883 8.996
Pb 3.890 3.396 -5.597
Pb 4.548 -4.054 7.897
Pb 3.890 -1.900 5.597
Pb 6.045 1.242 1.099
Pb 0.748 4.054 -1.099
Pb 3.890 1.900 3.399
Pb 4.548 4.054 1.099
Pb -1.406 1.900 5.597
Pb 6.703 3.396 3.399
Pb 0.748 1.242 7.897
Pb 1.406 3.396 5.597
Pb 4.548 1.242 10.095
Pb -0.748 4.054 7.897
Pb 1.406 7.197 3.399
Pb 0.748 9.351 1.099
Pb 1.406 1.900 14.593
```

# 3
NaPb: optimized geometry, PBE.

Values from the calculation:
electronic total energy	-2.43	eV/atom
spin magnetization	0.000	μB per atom
formation energy	16	kJ/mol of formula units

extended XYZ file:
```
8
Lattice="6.316 0.000 0.000 0.000 6.316 0.000 0.000 0.000 6.506" Properties=species:S:1:pos:R:3 pbc="T T T"
Na 1.130 1.130 0.000
Na 2.028 4.288 3.253
Na 4.288 2.028 3.253
Na 5.186 5.186 0.000
Pb 1.087 1.087 3.253
Pb 2.071 4.245 0.000
Pb 4.245 2.071 0.000
Pb 5.229 5.229 3.253
```

# 4
NaPb5: optimized geometry, PBE.

Values from the calculation:
electronic total energy	-3.33	eV/atom
spin magnetization	0.000	μB per atom
formation energy	-13	kJ/mol of formula units

extended XYZ file:
```
12
Lattice="5.746 0.000 0.000 0.000 17.037 0.000 0.000 0.000 3.771" Properties=species:S:1:pos:R:3 pbc="T T T"
Na 0.000 0.000 0.000
Na 2.873 8.518 0.000
Pb 0.000 2.836 1.885
Pb 0.000 5.684 0.000
Pb 0.000 8.518 1.885
Pb 0.000 11.353 0.000
Pb 0.000 14.201 1.885
Pb 2.873 0.000 1.885
Pb 2.873 2.834 0.000
Pb 2.873 5.683 1.885
Pb 2.873 11.354 1.885
Pb 2.873 14.203 0.000
```

# 5
Na4Pb: optimized geometry, PBE.

Values from the calculation:
electronic total energy	-1.85	eV/atom
spin magnetization	0.000	μB per atom
formation energy	-24	kJ/mol of formula units

extended XYZ file:
```
10
Lattice="6.700 0.000 0.000 0.000 10.414 0.000 -2.168 0.000 4.936" Properties=species:S:1:pos:R:3 pbc="T T T"
Na 1.042 1.517 0.457
Na -0.042 8.897 2.925
Na 0.170 4.039 3.027
Na 1.254 6.375 0.559
Na 3.278 4.039 4.376
Na 4.362 6.375 1.909
Na 4.574 1.517 2.011
Na 3.490 8.897 4.479
Pb 1.724 1.125 3.702
Pb 2.808 9.289 1.234
```

# 6
Na13Pb2: optimized geometry, PBE.

Values from the calculation:
electronic total energy	-1.70	eV/atom
spin magnetization	0.000	μB per atom
formation energy	-87	kJ/mol of formula units

extended XYZ file:
```
15
Lattice="6.310 0.000 0.000 0.544 9.252 0.000 1.407 3.531 8.490" Properties=species:S:1:pos:R:3 pbc="T T T"
Na 0.000 0.000 0.000
Na 1.965 8.634 4.232
Na 1.796 2.409 1.701
Na 3.130 8.798 7.899
Na 2.889 2.620 5.484
Na 3.056 5.400 3.275
Na 3.402 7.863 1.127
Na 4.859 4.920 7.364
Na 5.205 7.382 5.215
Na 5.372 10.163 3.006
Na 5.130 3.985 0.591
Na 6.465 10.374 6.789
Na 6.295 4.149 4.259
Pb 1.897 6.027 6.422
Pb 6.364 6.756 2.068
```

spin magnetization of number 2 (NaPb)? 0.000 μB per atom

formation energy of number 5 (Na4Pb)? -24 kJ/mol of formula units